Entry from the Alexandria database: crystalline CoP2O4 at its relaxed geometry (PBE+U).

The structure in CIF format:
```
data_CoP2O4
_symmetry_space_group_name_H-M 'P m m a'
_symmetry_Int_Tables_number 51
_symmetry_space_group_name_Hall '-P 2a 2a'
_cell_length_a 6.523
_cell_length_b 5.417
_cell_length_c 8.244
_cell_angle_alpha 90.00
_cell_angle_beta 90.00
_cell_angle_gamma 90.00
loop_
_atom_site_label
_atom_site_type_symbol
_atom_site_fract_x
_atom_site_fract_y
_atom_site_fract_z
Co1 Co 0.000 0.000 0.000
P1 P 0.250 0.000 0.342
P2 P 0.250 0.500 0.857
O1 O 0.055 0.000 0.239
O2 O 0.250 0.268 0.965
```

Calculated values
The calculation puts the electronic total energy at -6.4778 eV per atom. As for the volume: 20.8 A^3/atom.